Record 1
A relaxed structure of Li2CuP4O12, computed with PBE.

Geometry as POSCAR:
```
Li2CuP4O12
1.0
4.570 -6.902 0.000
4.570 6.902 0.000
-0.386 0.000 7.518
Li Cu P O
4 2 8 24
Direct
0.011 0.323 0.188
0.323 0.011 0.688
0.677 0.989 0.312
0.989 0.677 0.812
0.372 0.628 0.250
0.628 0.372 0.750
0.065 0.724 0.388
0.272 0.427 0.813
0.276 0.935 0.112
0.427 0.272 0.313
0.573 0.728 0.687
0.724 0.065 0.888
0.728 0.573 0.187
0.935 0.276 0.612
0.114 0.798 0.574
0.120 0.880 0.250
0.128 0.584 0.319
0.143 0.349 0.639
0.171 0.432 0.973
0.202 0.886 0.926
0.328 0.392 0.321
0.349 0.143 0.139
0.377 0.623 0.750
0.392 0.328 0.821
0.416 0.872 0.181
0.432 0.171 0.473
0.568 0.829 0.527
0.584 0.128 0.819
0.608 0.672 0.179
0.623 0.377 0.250
0.651 0.857 0.861
0.672 0.608 0.679
0.798 0.114 0.074
0.829 0.568 0.027
0.857 0.651 0.361
0.872 0.416 0.681
0.880 0.120 0.750
0.886 0.202 0.426
```

Output
The value obtained for the final energy is -6.709 eV per atom. The magnetic moment is 1.86 μB per cell. The formation energy without anion corrections is -38.4 eV/f.u. The energy above the most stable polymorph in this dataset is 20.4 meV per atom.

---

Record 2
A relaxed structure of Li3Cu3P2O8, computed with PBE.

Geometry as POSCAR:
```
Li3Cu3P2O8
1.0
5.097 0.000 0.000
0.269 5.516 0.000
0.107 0.070 6.131
Li Cu P O
3 3 2 8
Direct
0.000 0.000 0.000
0.020 0.519 0.249
0.515 0.696 0.499
0.056 0.495 0.749
0.474 0.233 0.730
0.477 0.221 0.260
0.520 0.686 0.002
0.997 0.008 0.493
0.087 0.156 0.288
0.089 0.129 0.707
0.120 0.745 0.484
0.213 0.686 0.004
0.617 0.947 0.000
0.629 0.548 0.209
0.631 0.552 0.791
0.693 0.005 0.498
```

Output
The value obtained for the final energy is -6.001 eV per atom. The magnetic moment is 0.00 μB per cell. The formation energy without anion corrections is -27.5 eV/f.u. The energy above the most stable polymorph in this dataset is 12.9 meV per atom.